Record 1
DFT (GGA-PBE) results for a relaxed structure of KMgAlRh.

The structure belongs to space group P1 (No. 1); the cell edges are 3.016, 3.996 and 8.787 Å and the angles 103.05°, 99.81° and 90.03°. The distinct sites, in fractional coordinates, are K at (0.000, 0.000, 0.000), Mg at (0.300, 0.317, 0.634), Al at (0.162, 0.676, 0.354) and Rh at (0.670, 0.184, 0.369).

As for the formation energy from the elements: -238 meV/atom. The size of the total moment is 0.0 μB/cell.

=====

Record 2
DFT (GGA-PBE) results for a relaxed structure of KMgAl2Rh.

The structure belongs to space group P4/mmm (No. 123); the cell edges are 4.817, 4.817 and 5.129 Å and the angles 90.00°, 90.00° and 90.00°. The distinct sites, in fractional coordinates, are K at (0.000, 0.000, 0.000), Mg at (0.500, 0.500, 0.000), Al at (0.000, 0.500, 0.500) and Rh at (0.500, 0.500, 0.500).

As for the formation energy from the elements: -280 meV/atom. The size of the total moment is 0.0 μB/cell.

=====

Record 3
DFT (GGA-PBE) results for a relaxed structure of KMgAlS3.

The structure belongs to space group P2_1/m (No. 11); the cell edges are 8.140, 3.836 and 9.805 Å and the angles 90.00°, 113.29° and 90.00°. The distinct sites, in fractional coordinates, are K at (0.245, 0.250, 0.248), Mg at (0.334, 0.750, 0.912), Al at (0.152, 0.250, 0.646), S at (0.101, 0.250, 0.857), S at (0.176, 0.750, 0.521) and S at (0.481, 0.250, 0.816).

The formation energy from raw total energies comes out at -1.24 eV per atom. The size of the total moment is 0.0 μB/cell.

=====

Record 4
DFT (GGA-PBE) results for a relaxed structure of KMgAlSe3.

The structure belongs to space group P2_1/m (No. 11); the cell edges are 8.576, 4.008 and 10.224 Å and the angles 90.00°, 112.68° and 90.00°. The distinct sites, in fractional coordinates, are K at (0.240, 0.250, 0.243), Mg at (0.340, 0.750, 0.911), Al at (0.150, 0.250, 0.647), Se at (0.104, 0.250, 0.864), Se at (0.179, 0.750, 0.516) and Se at (0.486, 0.250, 0.813).

The formation energy from raw total energies comes out at -1.09 eV per atom. The size of the total moment is 0.0 μB/cell.

=====

Record 5
DFT (GGA-PBE) results for a relaxed structure of KMg2AlSe4.

The structure belongs to space group Cmcm (No. 63); the cell edges are 3.897, 14.443 and 14.318 Å and the angles 90.00°, 90.00° and 90.00°. The distinct sites, in fractional coordinates, are K at (0.000, 0.123, 0.250), Mg at (0.000, 0.381, 0.050), Al at (0.000, 0.159, 0.750), Se at (0.000, 0.000, 0.000), Se at (0.000, 0.242, 0.608) and Se at (0.000, 0.443, 0.250).

The formation energy from raw total energies comes out at -1.12 eV per atom. The size of the total moment is 0.0 μB/cell.

=====

Record 6
DFT (GGA-PBE) results for a relaxed structure of K2Mg3AlSn4.

The structure belongs to space group P-4m2 (No. 115); the cell edges are 4.767, 4.767 and 12.640 Å and the angles 90.00°, 90.00° and 90.00°. The distinct sites, in fractional coordinates, are K at (0.000, 0.500, 0.246), Mg at (0.000, 0.000, 0.000), Mg at (0.000, 0.500, 0.641), Al at (0.500, 0.500, 0.000), Sn at (0.000, 0.000, 0.500), Sn at (0.000, 0.500, 0.869) and Sn at (0.500, 0.500, 0.500).

As for the formation energy from the elements: -183 meV/atom. The size of the total moment is 0.0 μB/cell.